Record 1
# PBE Pm3Er2Th2, optimized geometry
data_Pm3Er2Th2
_chemical_formula_sum 'Pm6 Er4 Th4'
_symmetry_space_group_name_H-M 'C 1 2/m 1'
_symmetry_Int_Tables_number 12
_cell_length_a 11.3225
_cell_length_b 5.0688
_cell_length_c 8.0746
_cell_angle_alpha 90.00
_cell_angle_beta 98.18
_cell_angle_gamma 90.00
loop_
_symmetry_equiv_pos_as_xyz
'x,y,z'
'-x,-y,-z'
'-x,y,-z'
'x,-y,z'
'x+1/2,y+1/2,z'
'-x+1/2,-y+1/2,-z'
'-x+1/2,y+1/2,-z'
'x+1/2,-y+1/2,z'
loop_
_atom_site_label
_atom_site_type_symbol
_atom_site_fract_x
_atom_site_fract_y
_atom_site_fract_z
Pm1 Pm 0.0000 0.0000 0.0000
Pm2 Pm 0.1456 0.0000 0.4274
Er1 Er 0.0752 0.5000 0.7186
Th1 Th 0.2159 0.5000 0.1368
# VASP energy in eV/atom: -5.414

Record 2
# PBE ReRuSe2, optimized geometry
data_ReRuSe2
_chemical_formula_sum 'Re4 Ru4 Se8'
_symmetry_space_group_name_H-M 'F m m m'
_symmetry_Int_Tables_number 69
_symmetry_space_group_name_Hall '-F 2 2'
_cell_length_a 5.2512
_cell_length_b 6.1177
_cell_length_c 8.4433
_cell_angle_alpha 90.00
_cell_angle_beta 90.00
_cell_angle_gamma 90.00
loop_
_atom_site_label
_atom_site_type_symbol
_atom_site_fract_x
_atom_site_fract_y
_atom_site_fract_z
Re1 Re 0.0000 0.0000 0.0000
Ru1 Ru 0.0000 0.0000 0.5000
Se1 Se 0.0000 0.2500 0.2500
# ΔE_f (raw) in eV per atom: 0.712
# Energy above the most stable polymorph in this dataset in meV/atom: 668

Record 3
# PBE La6GaRh2Br3, optimized geometry
data_La6GaRh2Br3
_chemical_formula_sum 'La12 Ga2 Rh4 Br6'
_symmetry_space_group_name_H-M 'C 1 2/m 1'
_symmetry_Int_Tables_number 12
_cell_length_a 19.9275
_cell_length_b 4.2220
_cell_length_c 9.3237
_cell_angle_alpha 90.00
_cell_angle_beta 109.00
_cell_angle_gamma 90.00
loop_
_symmetry_equiv_pos_as_xyz
'x,y,z'
'-x,-y,-z'
'-x,y,-z'
'x,-y,z'
'x+1/2,y+1/2,z'
'-x+1/2,-y+1/2,-z'
'-x+1/2,y+1/2,-z'
'x+1/2,-y+1/2,z'
loop_
_atom_site_label
_atom_site_type_symbol
_atom_site_fract_x
_atom_site_fract_y
_atom_site_fract_z
La1 La 0.0178 0.0000 0.2454
La2 La 0.1608 0.5000 0.1229
La3 La 0.1805 0.5000 0.5598
Ga1 Ga 0.0000 0.5000 0.0000
Rh1 Rh 0.1693 0.0000 0.3409
Br1 Br 0.0000 0.5000 0.5000
Br2 Br 0.1615 0.0000 0.8400
# ΔE_f (raw) in eV per atom: -1.093

Record 4
# PBE AlBNO2, optimized geometry
data_AlBNO2
_chemical_formula_sum 'Al1 B1 N1 O2'
_symmetry_space_group_name_H-M 'P 4/m m m'
_symmetry_Int_Tables_number 123
_symmetry_space_group_name_Hall '-P 4 2'
_cell_length_a 3.4207
_cell_length_b 3.4207
_cell_length_c 3.2022
_cell_angle_alpha 90.00
_cell_angle_beta 90.00
_cell_angle_gamma 90.00
loop_
_atom_site_label
_atom_site_type_symbol
_atom_site_fract_x
_atom_site_fract_y
_atom_site_fract_z
Al1 Al 0.0000 0.0000 0.0000
B1 B 0.5000 0.5000 0.5000
N1 N 0.5000 0.5000 0.0000
O1 O 0.0000 0.5000 0.5000
# ΔE_f (raw) in eV per atom: -0.289

What did the second record say?
# PBE ReRuSe2, optimized geometry
data_ReRuSe2
_chemical_formula_sum 'Re4 Ru4 Se8'
_symmetry_space_group_name_H-M 'F m m m'
_symmetry_Int_Tables_number 69
_symmetry_space_group_name_Hall '-F 2 2'
_cell_length_a 5.2512
_cell_length_b 6.1177
_cell_length_c 8.4433
_cell_angle_alpha 90.00
_cell_angle_beta 90.00
_cell_angle_gamma 90.00
loop_
_atom_site_label
_atom_site_type_symbol
_atom_site_fract_x
_atom_site_fract_y
_atom_site_fract_z
Re1 Re 0.0000 0.0000 0.0000
Ru1 Ru 0.0000 0.0000 0.5000
Se1 Se 0.0000 0.2500 0.2500
# ΔE_f (raw) in eV per atom: 0.712
# Energy above the most stable polymorph in this dataset in meV/atom: 668